This record from Alexandria via LeMat-Bulk describes a relaxed structure of Pr2CoO5. The functional is PBE with a Hubbard U.

The structure in CIF format:
```
data_Pr2CoO5
_symmetry_space_group_name_H-M 'P n m a'
_symmetry_Int_Tables_number 62
_symmetry_space_group_name_Hall '-P 2ac 2n'
_cell_length_a 10.866
_cell_length_b 3.944
_cell_length_c 11.214
_cell_angle_alpha 90.00
_cell_angle_beta 90.00
_cell_angle_gamma 90.00
loop_
_atom_site_label
_atom_site_type_symbol
_atom_site_fract_x
_atom_site_fract_y
_atom_site_fract_z
Pr1 Pr 0.086 0.250 0.218
Pr2 Pr 0.137 0.250 0.564
Co1 Co 0.201 0.250 0.871
O1 O 0.017 0.750 0.597
O2 O 0.046 0.250 0.810
O3 O 0.213 0.750 0.228
O4 O 0.215 0.250 0.030
O5 O 0.248 0.750 0.873
```

Output
Spin magnetization in μB/cell: 12.60

---

This record from Alexandria via LeMat-Bulk describes a relaxed structure of PrCoO3. The functional is PBE with a Hubbard U.

The structure in CIF format:
```
data_PrCoO3
_symmetry_space_group_name_H-M 'P m c 21'
_symmetry_Int_Tables_number 26
_symmetry_space_group_name_Hall 'P 2c -2'
_cell_length_a 3.770
_cell_length_b 8.277
_cell_length_c 3.991
_cell_angle_alpha 90.00
_cell_angle_beta 90.00
_cell_angle_gamma 90.00
loop_
_atom_site_label
_atom_site_type_symbol
_atom_site_fract_x
_atom_site_fract_y
_atom_site_fract_z
Pr1 Pr 0.000 0.191 0.000
Co1 Co 0.500 0.375 0.510
O1 O 0.000 0.349 0.507
O2 O 0.500 0.129 0.531
O3 O 0.500 0.379 0.010
```

Output
Spin magnetization in μB/cell: 3.98

---

This record from Alexandria via LeMat-Bulk describes a relaxed structure of Pr2CoO4. The functional is PBE with a Hubbard U.

The structure in CIF format:
```
data_Pr2CoO4
_symmetry_space_group_name_H-M 'I 4/m m m'
_symmetry_Int_Tables_number 139
_symmetry_space_group_name_Hall '-I 4 2'
_cell_length_a 3.784
_cell_length_b 3.784
_cell_length_c 12.819
_cell_angle_alpha 90.00
_cell_angle_beta 90.00
_cell_angle_gamma 90.00
loop_
_atom_site_label
_atom_site_type_symbol
_atom_site_fract_x
_atom_site_fract_y
_atom_site_fract_z
Pr1 Pr 0.000 0.000 0.137
Co1 Co 0.000 0.000 0.500
O1 O 0.000 0.000 0.320
O2 O 0.000 0.500 0.000
```

Output
Spin magnetization in μB/cell: 2.01
Polymorph energy (0 for the lowest one) in meV per atom: 81

---

This record from Alexandria via LeMat-Bulk describes a relaxed structure of Pr5Co2O12. The functional is PBE with a Hubbard U.

The structure in CIF format:
```
data_Pr5Co2O12
_symmetry_space_group_name_H-M 'C 1 2/m 1'
_symmetry_Int_Tables_number 12
_symmetry_space_group_name_Hall '-C 2y'
_cell_length_a 12.714
_cell_length_b 5.939
_cell_length_c 7.605
_cell_angle_alpha 90.00
_cell_angle_beta 107.14
_cell_angle_gamma 90.00
loop_
_atom_site_label
_atom_site_type_symbol
_atom_site_fract_x
_atom_site_fract_y
_atom_site_fract_z
Pr1 Pr 0.000 0.000 0.000
Pr2 Pr 0.190 0.500 0.853
Pr3 Pr 0.194 0.500 0.338
Co1 Co 0.000 0.243 0.500
O1 O 0.001 0.000 0.662
O2 O 0.001 0.500 0.336
O3 O 0.153 0.255 0.574
O4 O 0.154 0.249 0.080
```

Output
Spin magnetization in μB/cell: 6.04

---

Number 1: E_tot -7.29 eV per atom. Number 2: E_tot -6.86 eV per atom. Number 3: E_tot -7.46 eV per atom. Number 4: E_tot -7.36 eV per atom.